Density functional theory data (PBE-GGA) for a geometry-optimized TaOsPt structure.

Raw total energy in eV/cell: -113.293
ΔH_f (0 K) in meV per atom: 266.6
Total magnetization in μB/cell: 0.00
D(E_F) in states/eV/atom: 1.386

a b c (Å): 6.112 6.112 6.112
angles (deg): 90.00 90.00 90.00
Space group F-43m (No. 216)
Unique sites:
Ta (0.000, 0.000, 0.000) x4
Os (0.250, 0.250, 0.250) x4
Pt (0.000, 0.000, 0.500) x4

---

Density functional theory data (PBE-GGA) for a geometry-optimized Ta2Os2Pt structure.

Raw total energy in eV/cell: -106.064
ΔH_f (0 K) in meV per atom: -165.3
Total magnetization in μB/cell: 0.00
D(E_F) in states/eV/atom: 0.648

a b c (Å): 7.434 7.434 3.041
angles (deg): 90.00 90.00 90.00
Space group P4/mbm (No. 127)
Unique sites:
Ta (0.161, 0.339, 0.000) x4
Os (0.137, 0.637, 0.500) x4
Pt (0.000, 0.000, 0.500) x2

---

Density functional theory data (PBE-GGA) for a geometry-optimized TaOsPt4 structure.

Raw total energy in eV/cell: -186.085
ΔH_f (0 K) in meV per atom: 120.7
Total magnetization in μB/cell: 1.00
D(E_F) in states/eV/atom: 0.890

a b c (Å): 7.317 7.317 7.317
angles (deg): 90.00 90.00 90.00
Space group F-43m (No. 216)
Unique sites:
Ta (0.000, 0.000, 0.000) x4
Os (0.250, 0.250, 0.250) x4
Pt (0.124, 0.124, 0.624) x16

---

- The highest raw total energy belongs to which entry?
  Ta2Os2Pt

---

- ΔH_f (0 K) of number 2 (Ta2Os2Pt)?
  -165.3 meV per atom

---

- Which value of raw total energy does entry 1 give?
  -113.293 eV/cell